A plane-wave DFT calculation with meta-GGA SCAN was carried out for BeSb2Rh at its PBEsol-relaxed geometry.

abc: 3.600 4.438 4.438
angles: 90.00 90.00 90.00
Element x y z (fractional)
Sb: 0.000 0.000 0.500
Sb: 0.000 0.500 0.000
Rh: 0.500 0.000 0.000
Be: 0.500 0.500 0.500

- formation energy from raw total energies (kcal/mol of atoms) = 7.10
- space group = No. 123
- DOS(E_F) (states/eV/f.u.) = 2.19
- volume (Å³/f.u.) = 71
- uncorrected energy (eV/atom) = -27.854
- theoretical density (Mg/m³) = 8.3

=====

A plane-wave DFT calculation with meta-GGA SCAN was carried out for BeZnIn3 at its PBEsol-relaxed geometry.

abc: 4.845 4.845 4.845
angles: 90.00 90.00 90.00
Element x y z (fractional)
Be: 0.000 0.000 0.000
Zn: 0.500 0.500 0.500
In: 0.000 0.500 0.000
In: 0.000 0.000 0.500
In: 0.500 0.000 0.000

- space group = No. 221
- DOS(E_F) (states/eV/f.u.) = 1.68
- volume (Å³/f.u.) = 114
- uncorrected energy (eV/atom) = -23.206
- theoretical density (Mg/m³) = 6.1

=====

A plane-wave DFT calculation with meta-GGA SCAN was carried out for Zn2CdTe at its PBEsol-relaxed geometry.

abc: 3.930 4.009 5.371
angles: 90.00 90.00 90.00
Element x y z (fractional)
Cd: 0.500 0.500 0.000
Te: 0.500 0.000 0.500
Zn: 0.000 0.000 0.000
Zn: 0.000 0.500 0.500

- formation energy from raw total energies (kcal/mol of atoms) = 4.34
- space group = No. 47
- DOS(E_F) (states/eV/f.u.) = 1.32
- volume (Å³/f.u.) = 85
- uncorrected energy (eV/atom) = -23.486
- theoretical density (Mg/m³) = 7.3

=====

A plane-wave DFT calculation with meta-GGA SCAN was carried out for VCr2W at its PBEsol-relaxed geometry.

abc: 4.158 4.158 4.158
angles: 60.00 60.00 60.00
Element x y z (fractional)
Cr: 0.250 0.250 0.250
Cr: 0.750 0.750 0.750
W: 0.500 0.500 0.500
V: 0.000 0.000 0.000

- space group = No. 225
- DOS(E_F) (states/eV/f.u.) = 1.82
- volume (Å³/f.u.) = 51
- uncorrected energy (eV/atom) = -31.072
- theoretical density (Mg/m³) = 11.1

=====

A plane-wave DFT calculation with meta-GGA SCAN was carried out for LaTcSe2 at its PBEsol-relaxed geometry.

abc: 3.406 3.406 6.959
angles: 90.00 90.00 103.49
Element x y z (fractional)
La: 0.500 0.500 0.000
Se: 0.000 0.000 0.287
Se: 0.000 0.000 0.713
Tc: 0.500 0.500 0.500

- formation energy from raw total energies (kcal/mol of atoms) = -11.13
- space group = No. 65
- DOS(E_F) (states/eV/f.u.) = 3.45
- volume (Å³/f.u.) = 79
- uncorrected energy (eV/atom) = -30.063
- theoretical density (Mg/m³) = 8.4

=====

A plane-wave DFT calculation with meta-GGA SCAN was carried out for CdAs2I at its PBEsol-relaxed geometry.

abc: 5.032 5.032 5.032
angles: 60.00 60.00 60.00
Element x y z (fractional)
I: 0.500 0.500 0.500
As: 0.250 0.250 0.250
As: 0.750 0.750 0.750
Cd: 0.000 0.000 0.000

- formation energy from raw total energies (kcal/mol of atoms) = 16.04
- space group = No. 225
- DOS(E_F) (states/eV/f.u.) = 2.84
- volume (Å³/f.u.) = 90
- uncorrected energy (eV/atom) = -26.189
- theoretical density (Mg/m³) = 7.2